# 1
This record from the Alexandria database describes a PBEsol-optimized structure of TlTeN2Cl. The functional is meta-GGA SCAN.

The structure in POSCAR format:
```
TlTeN2Cl
1.0
4.2099 0.0000 0.0000
0.0000 4.2099 0.0000
0.0000 0.0000 5.5024
Tl Te N Cl
1 1 2 1
Direct
0.0000 0.0000 0.0000 Tl
0.5000 0.5000 0.0000 Te
0.0000 0.5000 0.5000 N
0.5000 0.0000 0.5000 N
0.5000 0.5000 0.5000 Cl
```

VASP energy = -126.16 eV/cell
space group = P4/mmm, No. 123
N(E_F) = 0.68 states/eV per atom
ΔE_f (raw) = 2.002 eV/atom

# 2
This record from the Alexandria database describes a PBEsol-optimized structure of LaCuIr2. The functional is meta-GGA SCAN.

The structure in POSCAR format:
```
LaCuIr2
1.0
4.0670 0.0000 0.0000
0.0000 4.0670 0.0000
0.0000 0.0000 4.0876
La Cu Ir
1 1 2
Direct
0.0000 0.0000 0.0000 La
0.5000 0.5000 0.0000 Cu
0.0000 0.5000 0.5000 Ir
0.5000 0.0000 0.5000 Ir
```

VASP energy = -200.81 eV/cell
calculated formation energy = -0.078 eV/atom
space group = P4/mmm, No. 123
N(E_F) = 1.10 states/eV per atom

# 3
This record from the Alexandria database describes a PBEsol-optimized structure of BeSnAsBr2. The functional is meta-GGA SCAN.

The structure in POSCAR format:
```
BeSnAsBr2
1.0
5.3589 0.0000 0.0000
0.0000 5.3589 0.0000
0.0000 0.0000 5.3880
Be Sn As Br
1 1 1 2
Direct
0.0000 0.0000 0.0000 Be
0.5000 0.5000 0.5000 Sn
0.5000 0.5000 0.0000 As
0.0000 0.5000 0.5000 Br
0.5000 0.0000 0.5000 Br
```

VASP energy = -95.83 eV/cell
space group = P4/mmm, No. 123
N(E_F) = 0.60 states/eV per atom
ΔE_f (raw) = 0.711 eV/atom

# 4
This record from the Alexandria database describes a PBEsol-optimized structure of TcHgW2. The functional is meta-GGA SCAN.

The structure in POSCAR format:
```
TcHgW2
1.0
3.9261 0.0000 0.0000
0.0000 3.9261 0.0000
0.0000 0.0000 4.0997
Tc Hg W
1 1 2
Direct
0.0000 0.0000 0.0000 Tc
0.5000 0.5000 0.0000 Hg
0.0000 0.5000 0.5000 W
0.5000 0.0000 0.5000 W
```

VASP energy = -240.55 eV/cell
calculated formation energy = 0.513 eV/atom
space group = P4/mmm, No. 123
N(E_F) = 0.44 states/eV per atom

# 5
This record from the Alexandria database describes a PBEsol-optimized structure of BaZnRu2. The functional is meta-GGA SCAN.

The structure in POSCAR format:
```
BaZnRu2
1.0
3.1122 0.0000 0.0000
0.0000 4.5194 0.0000
0.0000 0.0000 5.1351
Ba Zn Ru
1 1 2
Direct
0.0000 0.0000 0.0000 Ba
0.5000 0.0000 0.5000 Zn
0.0000 0.5000 0.5000 Ru
0.5000 0.5000 0.0000 Ru
```

VASP energy = -118.71 eV/cell
calculated formation energy = 1.001 eV/atom
space group = Pmmm, No. 47
N(E_F) = 1.01 states/eV per atom

# 6
This record from the Alexandria database describes a PBEsol-optimized structure of PrCo3P2. The functional is meta-GGA SCAN.

The structure in POSCAR format:
```
PrCo3P2
1.0
3.7283 0.0000 0.0000
0.0000 10.5385 0.0000
0.0000 0.0000 12.2474
Pr Co P
6 18 12
Direct
0.2500 0.0674 0.2060 Pr
0.2500 0.2500 0.4786 Pr
0.2500 0.4326 0.2060 Pr
0.7500 0.5674 0.7940 Pr
0.7500 0.7500 0.5214 Pr
0.7500 0.9326 0.7940 Pr
0.2500 0.1323 0.7116 Co
0.2500 0.2500 0.0126 Co
0.2500 0.3677 0.7116 Co
0.2500 0.5480 0.4297 Co
0.2500 0.5837 0.9966 Co
0.2500 0.7500 0.1564 Co
0.2500 0.7500 0.7051 Co
0.2500 0.9163 0.9966 Co
0.2500 0.9520 0.4297 Co
0.7500 0.0480 0.5703 Co
0.7500 0.0837 0.0034 Co
0.7500 0.2500 0.2949 Co
0.7500 0.2500 0.8436 Co
0.7500 0.4163 0.0034 Co
0.7500 0.4520 0.5703 Co
0.7500 0.6323 0.2884 Co
0.7500 0.7500 0.9874 Co
0.7500 0.8677 0.2884 Co
0.2500 0.0990 0.8959 P
0.2500 0.4010 0.8959 P
0.2500 0.5547 0.6135 P
0.2500 0.7500 0.3381 P
0.2500 0.7500 0.8877 P
0.2500 0.9453 0.6135 P
0.7500 0.0547 0.3865 P
0.7500 0.2500 0.1123 P
0.7500 0.2500 0.6619 P
0.7500 0.4453 0.3865 P
0.7500 0.5990 0.1041 P
0.7500 0.9010 0.1041 P
```

VASP energy = -724.18 eV/cell
calculated formation energy = -0.777 eV/atom
space group = Pmmn, No. 59
N(E_F) = 0.42 states/eV per atom

# 7
This record from the Alexandria database describes a PBEsol-optimized structure of LiYW2O8. The functional is meta-GGA SCAN.

The structure in POSCAR format:
```
LiYW2O8
1.0
4.9711 0.0000 0.0000
0.0000 5.8492 0.0000
-4.4069 0.0000 9.9355
Li Y W O
2 2 4 16
Direct
0.0000 0.2386 0.2500 Li
0.0000 0.7614 0.7500 Li
0.5000 0.1862 0.7500 Y
0.5000 0.8138 0.2500 Y
0.2664 0.3219 0.0162 W
0.2664 0.6781 0.5162 W
0.7336 0.3219 0.4838 W
0.7336 0.6781 0.9838 W
0.1511 0.3908 0.5956 O
0.1511 0.6092 0.0956 O
0.2288 0.1309 0.1372 O
0.2288 0.8691 0.6372 O
0.2841 0.1286 0.8909 O
0.2841 0.8714 0.3909 O
0.3460 0.4141 0.3875 O
0.3460 0.5859 0.8875 O
0.6540 0.4141 0.1125 O
0.6540 0.5859 0.6125 O
0.7159 0.1286 0.6091 O
0.7159 0.8714 0.1091 O
0.7712 0.1309 0.3628 O
0.7712 0.8691 0.8628 O
0.8489 0.3908 0.9044 O
0.8489 0.6092 0.4044 O
```

VASP energy = -504.22 eV/cell
space group = P2/c, No. 13
N(E_F) = 0.00 states/eV per atom
ΔE_f (raw) = -2.721 eV/atom

# 8
This record from the Alexandria database describes a PBEsol-optimized structure of Mg2ZrTeF. The functional is meta-GGA SCAN.

The structure in POSCAR format:
```
Mg2ZrTeF
1.0
5.6957 0.0000 0.0000
0.0000 5.6957 0.0000
0.0000 0.0000 4.0715
Mg Zr Te F
2 1 1 1
Direct
0.0000 0.5000 0.0000 Mg
0.5000 0.0000 0.0000 Mg
0.0000 0.0000 0.0000 Zr
0.5000 0.5000 0.5000 Te
0.0000 0.0000 0.5000 F
```

VASP energy = -83.81 eV/cell
space group = P4/mmm, No. 123
N(E_F) = 0.53 states/eV per atom
ΔE_f (raw) = -0.474 eV/atom

# 9
This record from the Alexandria database describes a PBEsol-optimized structure of LiCaAg2. The functional is meta-GGA SCAN.

The structure in POSCAR format:
```
LiCaAg2
1.0
3.5663 0.0000 0.0000
0.0000 4.6754 0.0000
-0.0154 0.0000 5.0175
Li Ca Ag
1 1 2
Direct
0.0000 0.0000 0.0000 Li
0.0032 0.5000 0.5626 Ca
0.5027 0.0000 0.4151 Ag
0.5026 0.5000 0.0688 Ag
```

VASP energy = -75.51 eV/cell
calculated formation energy = -0.180 eV/atom
energy above the most stable polymorph in this dataset = 0.066 eV per atom
space group = Pm, No. 6
N(E_F) = 0.34 states/eV per atom

# 10
This record from the Alexandria database describes a PBEsol-optimized structure of AlPb8. The functional is meta-GGA SCAN.

The structure in POSCAR format:
```
AlPb8
1.0
-5.1141 5.1141 2.4506
5.1141 -5.1141 2.4506
5.1141 5.1141 -2.4506
Al Pb
1 8
Direct
0.0000 0.0000 0.0000 Al
0.0000 0.3270 0.3270 Pb
0.0000 0.6730 0.6730 Pb
0.3270 0.0000 0.3270 Pb
0.3377 0.3377 0.6753 Pb
0.3377 0.6623 0.0000 Pb
0.6623 0.3377 0.0000 Pb
0.6623 0.6623 0.3247 Pb
0.6730 0.0000 0.6730 Pb
```

VASP energy = -613.21 eV/cell
calculated formation energy = 0.088 eV/atom
space group = I4/mmm, No. 139
N(E_F) = 0.46 states/eV per atom

# 11
This record from the Alexandria database describes a PBEsol-optimized structure of AlAg2Pt. The functional is meta-GGA SCAN.

The structure in POSCAR format:
```
AlAg2Pt
1.0
0.0000 3.1404 3.1404
3.1404 0.0000 3.1404
3.1404 3.1404 0.0000
Al Ag Pt
1 2 1
Direct
0.0000 0.0000 0.0000 Al
0.2500 0.2500 0.2500 Ag
0.5000 0.5000 0.5000 Ag
0.7500 0.7500 0.7500 Pt
```

VASP energy = -142.11 eV/cell
calculated formation energy = -0.357 eV/atom
energy above the most stable polymorph in this dataset = 0.016 eV per atom
space group = F-43m, No. 216
N(E_F) = 0.23 states/eV per atom

# 12
This record from the Alexandria database describes a PBEsol-optimized structure of LiAgC2O4. The functional is meta-GGA SCAN.

The structure in POSCAR format:
```
LiAgC2O4
1.0
3.4156 0.0000 0.0000
0.0000 5.2294 0.0000
-0.1411 0.0000 10.0731
Li Ag C O
2 2 4 8
Direct
0.0000 0.1880 0.0000 Li
0.0000 0.8120 0.5000 Li
0.4772 0.3423 0.3047 Ag
0.4772 0.6577 0.8047 Ag
0.0158 0.1762 0.7008 C
0.0158 0.8238 0.2008 C
0.8090 0.3007 0.5786 C
0.8090 0.6993 0.0786 C
0.0235 0.2938 0.8107 O
0.0235 0.7062 0.3107 O
0.1671 0.0387 0.1760 O
0.1671 0.9613 0.6760 O
0.6826 0.4725 0.0844 O
0.6826 0.5275 0.5844 O
0.7845 0.1572 0.4775 O
0.7845 0.8428 0.9775 O
```

VASP energy = -177.67 eV/cell
energy above the most stable polymorph in this dataset = 0.019 eV per atom
space group = Pc, No. 7
N(E_F) = 0.00 states/eV per atom
ΔE_f (raw) = -1.244 eV/atom